# 1
! SrMnCu2 (PBE, relaxed); values from VASP
! Total magnetic moment   3.9 Bohr magnetons per cell
! Space group   F-43m, No. 216
! DFT formation energy   1.97 eV/f.u.
&SYSTEM
  ibrav = 0, nat = 4, ntyp = 3
/
ATOMIC_SPECIES
Mn 54.94 Mn.upf
Cu 63.55 Cu.upf
Sr 87.62 Sr.upf
ATOMIC_POSITIONS angstrom
Mn 4.760 2.748 1.943
Cu 0.000 0.000 0.000
Sr 7.140 4.122 2.915
Cu 2.380 1.374 0.972
CELL_PARAMETERS angstrom
4.760 0.000 0.000
2.380 4.122 0.000
2.380 1.374 3.887

# 2
! CsK8Au6 (PBE, relaxed); values from VASP
! Total magnetic moment   0.0 Bohr magnetons per cell
! Space group   R-3, No. 148
! DFT formation energy   -3.68 eV/f.u.
&SYSTEM
  ibrav = 0, nat = 15, ntyp = 3
/
ATOMIC_SPECIES
Au 196.97 Au.upf
K 39.10 K.upf
Cs 132.91 Cs.upf
ATOMIC_POSITIONS angstrom
Au -2.594 7.337 -3.997
K -9.191 6.259 -4.459
Au -7.033 3.775 -3.580
Au -5.665 11.396 -2.023
Cs 0.000 0.000 0.000
Au -10.104 7.834 -1.606
K -4.226 5.049 -1.865
K -7.438 9.392 0.050
K -8.471 10.121 -3.738
Au -5.388 6.826 0.952
Au -7.310 8.344 -6.556
K -8.005 5.347 -0.603
K -5.260 5.779 -5.654
K -4.693 9.823 -5.000
K -3.507 8.912 -1.144
CELL_PARAMETERS angstrom
-1.463 5.507 -6.926
-8.743 1.473 -1.349
-2.492 8.191 2.672

# 3
! CaMo3 (PBE, relaxed); values from VASP
! Total magnetic moment   0.0 Bohr magnetons per cell
! Space group   Imm2, No. 44
! Energy above the most stable polymorph in this dataset   304 meV/atom
! DFT formation energy   3.11 eV/f.u.
&SYSTEM
  ibrav = 0, nat = 4, ntyp = 2
/
ATOMIC_SPECIES
Mo 95.94 Mo.upf
Ca 40.08 Ca.upf
ATOMIC_POSITIONS angstrom
Mo -2.880 -1.091 1.069
Mo -3.834 0.046 -1.559
Ca -0.116 0.093 -0.098
Mo -3.710 -3.709 0.588
CELL_PARAMETERS angstrom
-4.903 -3.017 -1.887
-2.307 -4.569 3.240
1.432 5.792 -1.050

# 4
! Ca14MgCd (PBE, relaxed); values from VASP
! Total magnetic moment   0.0 Bohr magnetons per cell
! Space group   Amm2, No. 38
! DFT formation energy   -0.36 eV/f.u.
&SYSTEM
  ibrav = 0, nat = 16, ntyp = 3
/
ATOMIC_SPECIES
Ca 40.08 Ca.upf
Cd 112.41 Cd.upf
Mg 24.30 Mg.upf
ATOMIC_POSITIONS angstrom
Ca 3.254 -9.988 0.983
Ca -1.167 -8.881 -3.920
Ca 0.972 -11.372 -1.800
Ca 1.112 -7.503 -1.159
Ca -0.956 -1.479 -2.481
Ca 1.981 -6.791 -4.920
Cd -3.225 -2.849 -5.226
Ca -0.230 -4.593 -6.820
Ca -1.040 -5.034 -3.291
Ca 1.245 -3.633 -0.519
Ca -4.175 -7.126 -2.315
Ca 0.236 -8.214 2.600
Ca -1.897 -5.748 0.446
Mg 2.044 -3.224 -4.074
Ca -2.043 -9.593 -0.187
Ca 4.266 -5.395 -2.144
CELL_PARAMETERS angstrom
-4.550 -2.754 -5.515
6.010 -3.507 -3.207
-1.884 -8.556 5.826

# 5
! Na4YSc3Se8 (PBE, relaxed); values from VASP
! Total magnetic moment   0.0 Bohr magnetons per cell
! E_tot   -5.277 eV/atom
! Space group   C2/m, No. 12
&SYSTEM
  ibrav = 0, nat = 16, ntyp = 4
/
ATOMIC_SPECIES
Na 22.99 Na.upf
Sc 44.96 Sc.upf
Se 78.96 Se.upf
Y 88.91 Y.upf
ATOMIC_POSITIONS angstrom
Na 2.392 1.534 2.811
Sc 2.906 -2.865 -0.909
Se 2.834 -0.719 0.820
Se 5.404 -3.420 0.116
Se 2.978 -5.012 -2.637
Na -1.019 -3.863 0.133
Se 0.408 -2.311 -1.934
Se 4.065 -1.166 -2.728
Se 6.388 0.314 -0.012
Se -0.577 -6.045 -1.805
Se 1.746 -4.565 0.911
Y 1.532 -0.537 -3.853
Na 1.373 -2.329 2.944
Sc 3.924 0.997 -1.042
Sc 0.514 -4.399 -3.720
Na 0.000 0.000 0.000
CELL_PARAMETERS angstrom
-2.037 -7.725 0.266
3.065 -1.073 -7.706
4.783 3.068 5.623

# 6
! PmNdHo2Tm4 (PBE, relaxed); values from VASP
! Total magnetic moment   0.0 Bohr magnetons per cell
! Space group   P2/m, No. 10
! DFT formation energy   0.17 eV/f.u.
&SYSTEM
  ibrav = 0, nat = 16, ntyp = 4
/
ATOMIC_SPECIES
Tm 168.93 Tm.upf
Ho 164.93 Ho.upf
Nd 144.24 Nd.upf
Pm 145.00 Pm.upf
ATOMIC_POSITIONS angstrom
Tm -0.373 -2.551 5.565
Tm -1.294 -0.011 3.306
Tm -4.881 -2.435 7.532
Tm 3.303 -0.127 1.303
Ho -3.623 -2.445 4.264
Nd 1.858 -5.121 4.558
Ho 4.552 -0.116 -1.985
Tm -1.145 5.049 3.349
Pm 0.150 5.021 0.047
Ho 0.929 -2.561 2.279
Tm 7.039 7.356 -2.880
Pm 5.631 2.345 0.341
Nd 1.079 2.461 2.326
Ho 4.702 4.906 -1.938
Tm 2.532 7.472 -0.914
Tm 3.452 4.933 1.346
CELL_PARAMETERS angstrom
9.105 -0.232 -3.970
0.300 10.043 0.093
-7.247 -4.890 8.528